Entry 1:
The following is a DFT calculation (GGA-PBE) of a geometry-optimized RbZrRuO6 structure.

Cell lengths 5.4607, 5.4607, 6.2750 Å; angles 90.00, 90.00, 120.00 degrees
Positions (direct):
Rb (0.0000, 0.0000, 0.0000)
Zr (0.6667, 0.3333, 0.5000)
Ru (0.3333, 0.6667, 0.5000)
O (0.0269, 0.4113, 0.3218)
O (0.0269, 0.6156, 0.6782)
O (0.3844, 0.4113, 0.6782)
O (0.3844, 0.9731, 0.3218)
O (0.5887, 0.6156, 0.3218)
O (0.5887, 0.9731, 0.6782)

Computed properties:
- ΔE_f (raw) (eV per formula unit) = -14.9
- E (Ry/atom) = -0.518
- size of the total moment (μB per formula unit) = 0.94
- DOS at the Fermi energy (states/eV/atom) = 0.500



Entry 2:
The following is a DFT calculation (GGA-PBE) of a geometry-optimized RbSO structure.

Cell lengths 4.5892, 3.7365, 9.4035 Å; angles 90.00, 93.07, 90.00 degrees
Positions (direct):
Rb (0.0000, 0.0000, 0.0000)
Rb (0.4656, 0.5000, 0.6315)
S (0.5395, 0.0000, 0.2779)
S (0.8948, 0.0000, 0.4037)
O (0.4831, 0.0000, 0.8407)
O (0.9625, 0.5000, 0.4299)

Computed properties:
- ΔE_f (raw) (eV per formula unit) = -1.4
- E (Ry/atom) = -0.281
- size of the total moment (μB per formula unit) = 0.36
- DOS at the Fermi energy (states/eV/atom) = 0.565



Entry 3:
The following is a DFT calculation (GGA-PBE) of a geometry-optimized Rb2SO6 structure.

Cell lengths 5.5585, 5.5585, 11.4227 Å; angles 90.00, 90.00, 90.00 degrees
Positions (direct):
Rb (0.0000, 0.0000, 0.1599)
Rb (0.0000, 0.0000, 0.8401)
Rb (0.5000, 0.5000, 0.3401)
Rb (0.5000, 0.5000, 0.6599)
S (0.0000, 0.0000, 0.5000)
S (0.5000, 0.5000, 0.0000)
O (0.1447, 0.1447, 0.3995)
O (0.1447, 0.1447, 0.6005)
O (0.2040, 0.7960, 0.5000)
O (0.2960, 0.2960, 0.0000)
O (0.3553, 0.6447, 0.1005)
O (0.3553, 0.6447, 0.8995)
O (0.6447, 0.3553, 0.1005)
O (0.6447, 0.3553, 0.8995)
O (0.7040, 0.7040, 0.0000)
O (0.7960, 0.2040, 0.5000)
O (0.8553, 0.8553, 0.3995)
O (0.8553, 0.8553, 0.6005)

Computed properties:
- ΔE_f (raw) (eV per formula unit) = -6.8
- E (Ry/atom) = -0.348
- size of the total moment (μB per formula unit) = 2.00
- DOS at the Fermi energy (states/eV/atom) = 1.090



Entry 4:
The following is a DFT calculation (GGA-PBE) of a geometry-optimized RbSO3 structure.

Cell lengths 10.3543, 10.3543, 6.6307 Å; angles 90.00, 90.00, 120.00 degrees
Positions (direct):
Rb (0.0000, 0.2955, 0.0000)
Rb (0.0000, 0.6205, 0.5000)
Rb (0.2955, 0.0000, 0.0000)
Rb (0.3795, 0.3795, 0.5000)
Rb (0.6205, 0.0000, 0.5000)
Rb (0.7045, 0.7045, 0.0000)
S (0.0000, 0.0000, 0.3305)
S (0.0000, 0.0000, 0.6695)
S (0.3333, 0.6667, 0.0993)
S (0.3333, 0.6667, 0.7630)
S (0.6667, 0.3333, 0.2370)
S (0.6667, 0.3333, 0.9007)
O (0.0348, 0.8833, 0.2741)
O (0.1167, 0.1516, 0.2741)
O (0.1516, 0.1167, 0.7259)
O (0.1781, 0.6200, 0.1510)
O (0.2104, 0.5181, 0.7054)
O (0.3076, 0.7896, 0.7054)
O (0.3800, 0.5581, 0.1510)
O (0.4419, 0.8219, 0.1510)
O (0.4819, 0.6924, 0.7054)
O (0.5181, 0.2104, 0.2946)
O (0.5581, 0.3800, 0.8490)
O (0.6200, 0.1781, 0.8490)
O (0.6924, 0.4819, 0.2946)
O (0.7896, 0.3076, 0.2946)
O (0.8219, 0.4419, 0.8490)
O (0.8484, 0.9652, 0.2741)
O (0.8833, 0.0348, 0.7259)
O (0.9652, 0.8484, 0.7259)

Computed properties:
- ΔE_f (raw) (eV per formula unit) = -8.3
- E (Ry/atom) = -0.416
- size of the total moment (μB per formula unit) = 0.00
- DOS at the Fermi energy (states/eV/atom) = 0.000



Entry 5:
The following is a DFT calculation (GGA-PBE) of a geometry-optimized RbS2O6 structure.

Cell lengths 8.0544, 8.0544, 6.2800 Å; angles 111.77, 111.77, 75.38 degrees
Positions (direct):
Rb (0.1838, 0.8162, 0.7500)
Rb (0.8162, 0.1838, 0.2500)
S (0.2123, 0.3576, 0.8580)
S (0.3576, 0.2123, 0.3580)
S (0.6424, 0.7877, 0.6420)
S (0.7877, 0.6424, 0.1420)
O (0.0945, 0.2171, 0.7189)
O (0.1264, 0.5441, 0.9050)
O (0.2171, 0.0945, 0.2189)
O (0.3151, 0.3671, 0.5609)
O (0.3671, 0.3151, 0.0609)
O (0.4559, 0.8736, 0.5950)
O (0.5441, 0.1264, 0.4050)
O (0.6329, 0.6849, 0.9391)
O (0.6849, 0.6329, 0.4391)
O (0.7829, 0.9055, 0.7811)
O (0.8736, 0.4559, 0.0950)
O (0.9055, 0.7829, 0.2811)

Computed properties:
- ΔE_f (raw) (eV per formula unit) = -11.6
- E (Ry/atom) = -0.413
- size of the total moment (μB per formula unit) = 0.00
- DOS at the Fermi energy (states/eV/atom) = 0.189



Entry 6:
The following is a DFT calculation (GGA-PBE) of a geometry-optimized RbS4O12 structure.

Cell lengths 5.9915, 5.9915, 5.9915 Å; angles 109.47, 109.47, 109.47 degrees
Positions (direct):
Rb (0.0000, 0.0000, 0.0000)
S (0.0000, 0.0000, 0.5000)
S (0.0000, 0.5000, 0.0000)
S (0.5000, 0.0000, 0.0000)
S (0.5000, 0.5000, 0.5000)
O (0.1024, 0.3086, 0.7938)
O (0.2062, 0.5148, 0.3086)
O (0.2062, 0.8976, 0.6914)
O (0.3086, 0.2062, 0.5148)
O (0.3086, 0.7938, 0.1024)
O (0.4852, 0.6914, 0.7938)
O (0.5148, 0.3086, 0.2062)
O (0.6914, 0.2062, 0.8976)
O (0.6914, 0.7938, 0.4852)
O (0.7938, 0.1024, 0.3086)
O (0.7938, 0.4852, 0.6914)
O (0.8976, 0.6914, 0.2062)

Computed properties:
- ΔE_f (raw) (eV per formula unit) = 0.5
- E (Ry/atom) = -0.331
- size of the total moment (μB per formula unit) = 0.00
- DOS at the Fermi energy (states/eV/atom) = 0.316



Entry 7:
The following is a DFT calculation (GGA-PBE) of a geometry-optimized RbS3O structure.

Cell lengths 6.3619, 6.3619, 6.3619 Å; angles 90.00, 90.00, 90.00 degrees
Positions (direct):
Rb (0.0000, 0.0000, 0.0000)
S (0.0000, 0.0000, 0.5000)
S (0.0000, 0.5000, 0.0000)
S (0.5000, 0.0000, 0.0000)
O (0.5000, 0.5000, 0.5000)

Computed properties:
- ΔE_f (raw) (eV per formula unit) = 9.3
- E (Ry/atom) = -0.132
- size of the total moment (μB per formula unit) = 5.36
- DOS at the Fermi energy (states/eV/atom) = 22.413



Entry 8:
The following is a DFT calculation (GGA-PBE) of a geometry-optimized RbSO3 structure.

Cell lengths 6.1473, 6.1473, 5.4084 Å; angles 90.00, 90.00, 120.00 degrees
Positions (direct):
Rb (0.3333, 0.6667, 0.2500)
Rb (0.6667, 0.3333, 0.7500)
S (0.0000, 0.0000, 0.2500)
S (0.0000, 0.0000, 0.7500)
O (0.1406, 0.2812, 0.7500)
O (0.1406, 0.8594, 0.7500)
O (0.2812, 0.1406, 0.2500)
O (0.7188, 0.8594, 0.7500)
O (0.8594, 0.1406, 0.2500)
O (0.8594, 0.7188, 0.2500)

Computed properties:
- ΔE_f (raw) (eV per formula unit) = -6.4
- E (Ry/atom) = -0.388
- size of the total moment (μB per formula unit) = 0.96
- DOS at the Fermi energy (states/eV/atom) = 0.244



Number 1: volume 18.0 Å³ per atom. Number 2: volume 26.8 Å³ per atom. Number 3: volume 19.6 Å³ per atom. Number 4: volume 20.5 Å³ per atom. Number 5: volume 19.3 Å³ per atom. Number 6: volume 9.7 Å³ per atom. Number 7: volume 51.5 Å³ per atom. Number 8: volume 17.7 Å³ per atom.